The following is a PBE with a Hubbard U calculation of a relaxed structure of MnGaCoAuSeO, from the Alexandria database.

a b c (Å): 3.4980 4.4925 14.9509
angles (deg): 90.00 90.00 90.00
Closest atoms and distances in Å follow each position.
Space group Imm2 (No. 44)
Unique sites:
Mn 0.0000 0.0000 0.0000 (multiplicity 2)  2 O 2.03
Ga 0.0000 0.5000 0.7012 (multiplicity 2)  1 O 1.98
Co 0.0000 0.0000 0.5542 (multiplicity 2)  2 O 2.26
Au 0.0000 0.5000 0.1978 (multiplicity 2)  2 Co 2.77, 4 Ga 2.85
Se 0.0000 0.5000 0.9242 (multiplicity 2)  2 Mn 2.52, 2 Co 2.61
O 0.0000 0.5000 0.5689 (multiplicity 2)  1 Ga 1.98, 2 Mn 2.03

Calculated values
magnetic moment	7.4	μB/f.u.
energy above the lowest structure with this stoichiometry	3.0	kJ per mole of atoms